No. 1
Crystalline Hf2MgSc2 at its relaxed geometry. Source: Alexandria via LeMat-Bulk, functional GGA-PBE.

Cell lengths 8.3593, 8.3593, 3.4227 Å; angles 90.00, 90.00, 90.00 degrees
Fractional coordinates of all 10 atoms:
1 Hf 0.1236 0.3764 0.0000
2 Hf 0.3764 0.8764 0.0000
3 Hf 0.6236 0.1236 0.0000
4 Hf 0.8764 0.6236 0.0000
5 Mg 0.0000 0.0000 0.0000
6 Mg 0.5000 0.5000 0.0000
7 Sc 0.1714 0.6714 0.5000
8 Sc 0.3286 0.1714 0.5000
9 Sc 0.6714 0.8286 0.5000
10 Sc 0.8286 0.3286 0.5000

Output
Relative energy among the computed polymorphs in meV/atom: 237
Total DFT energy (no corrections) in eV for the cell shown: -65.97
Calculated formation energy in eV per atom: 0.24
D(E_F) in states/eV/atom: 1.29

No. 2
Crystalline CaFeI2Br at its relaxed geometry. Source: Alexandria via LeMat-Bulk, functional GGA-PBE.

Cell lengths 6.8150, 6.8150, 4.4330 Å; angles 90.00, 90.00, 90.00 degrees
Fractional coordinates of all 5 atoms:
1 Ca 0.0000 0.0000 0.0000
2 Fe 0.5000 0.5000 0.0000
3 I 0.0000 0.5000 0.5000
4 I 0.5000 0.0000 0.5000
5 Br 0.5000 0.5000 0.5000

Output
Total DFT energy (no corrections) in eV for the cell shown: -14.80
D(E_F) in states/eV/atom: 2.91

No. 3
Crystalline Hf3AlTe at its relaxed geometry. Source: Alexandria via LeMat-Bulk, functional GGA-PBE.

Cell lengths 4.9895, 4.9895, 4.9895 Å; angles 90.00, 90.00, 90.00 degrees
Fractional coordinates of all 5 atoms:
1 Hf 0.0000 0.0000 0.5000
2 Hf 0.0000 0.5000 0.0000
3 Hf 0.5000 0.0000 0.0000
4 Al 0.0000 0.0000 0.0000
5 Te 0.5000 0.5000 0.5000

Output
Relative energy among the computed polymorphs in meV/atom: 0
Total DFT energy (no corrections) in eV for the cell shown: -33.61
D(E_F) in states/eV/atom: 0.81

No. 4
Crystalline Nd2Be3ZnPt4 at its relaxed geometry. Source: Alexandria via LeMat-Bulk, functional GGA-PBE.

Cell lengths 4.0832, 4.0832, 10.1008 Å; angles 90.00, 90.00, 90.00 degrees
Fractional coordinates of all 10 atoms:
1 Nd 0.0000 0.5000 0.2436
2 Nd 0.5000 0.0000 0.7564
3 Be 0.0000 0.5000 0.8841
4 Be 0.5000 0.0000 0.1159
5 Be 0.5000 0.5000 0.5000
6 Zn 0.0000 0.0000 0.5000
7 Pt 0.0000 0.0000 0.0000
8 Pt 0.0000 0.5000 0.6470
9 Pt 0.5000 0.0000 0.3530
10 Pt 0.5000 0.5000 0.0000

Output
Total DFT energy (no corrections) in eV for the cell shown: -54.51
Calculated formation energy in eV per atom: -0.84
D(E_F) in states/eV/atom: 0.45

No. 5
Crystalline YRe2Sn2 at its relaxed geometry. Source: Alexandria via LeMat-Bulk, functional GGA-PBE.

Cell lengths 7.9747, 7.9747, 3.1166 Å; angles 90.00, 90.00, 90.00 degrees
Fractional coordinates of all 10 atoms:
1 Y 0.0000 0.0000 0.0000
2 Y 0.5000 0.5000 0.0000
3 Re 0.1491 0.3509 0.5000
4 Re 0.3509 0.8509 0.5000
5 Re 0.6491 0.1491 0.5000
6 Re 0.8509 0.6491 0.5000
7 Sn 0.1449 0.6449 0.0000
8 Sn 0.3551 0.1449 0.0000
9 Sn 0.6449 0.8551 0.0000
10 Sn 0.8551 0.3551 0.0000

Output
Relative energy among the computed polymorphs in meV/atom: 0
Total DFT energy (no corrections) in eV for the cell shown: -75.87
Calculated formation energy in eV per atom: 0.29
D(E_F) in states/eV/atom: 0.72

No. 6
Crystalline NiSn2Sb2Pd7 at its relaxed geometry. Source: Alexandria via LeMat-Bulk, functional GGA-PBE.

Cell lengths 3.9382, 3.9382, 15.3044 Å; angles 94.28, 94.28, 90.18 degrees
Fractional coordinates of all 12 atoms:
1 Ni 0.0000 0.0000 0.0000
2 Sn 0.4293 0.4293 0.7544
3 Sn 0.5707 0.5707 0.2456
4 Sb 0.1339 0.1339 0.4111
5 Sb 0.8661 0.8661 0.5889
6 Pd 0.0364 0.5369 0.1266
7 Pd 0.3634 0.3634 0.5786
8 Pd 0.4631 0.9636 0.8734
9 Pd 0.5000 0.5000 0.0000
10 Pd 0.5369 0.0364 0.1266
11 Pd 0.6366 0.6366 0.4214
12 Pd 0.9636 0.4631 0.8734

Output
Total DFT energy (no corrections) in eV for the cell shown: -60.75
D(E_F) in states/eV/atom: 0.98